(1)
DFT (GGA-PBE) results for a geometry-optimized ScVAu2 structure.

```
ScVAu2
1.0
7.450 0.000 0.000
0.000 7.450 0.000
3.725 3.725 2.810
Sc Au V
2 4 2
Direct
0.500 0.500 0.000
0.250 0.750 0.500
0.649 0.125 0.250
0.101 0.625 0.250
0.375 0.351 0.750
0.875 0.899 0.750
0.000 0.000 0.000
0.750 0.250 0.500
```

Computed properties:
Space group   No. 122



(2)
DFT (GGA-PBE) results for a geometry-optimized ScVAu2 structure.

```
ScVAu2
1.0
0.000 3.319 3.319
3.319 0.000 3.319
3.319 3.319 0.000
Sc Au V
1 2 1
Direct
0.000 0.000 0.000
0.250 0.250 0.250
0.750 0.750 0.750
0.500 0.500 0.500
```

Computed properties:
Space group   No. 225



Of them, (2) has the highest stability.



(1)
DFT (GGA-PBE) results for a geometry-optimized ScV3Au structure.

```
ScV3Au
1.0
4.866 0.000 0.000
0.000 4.866 0.000
0.000 0.000 4.866
Sc Au V
1 1 3
Direct
0.500 0.500 0.500
0.000 0.000 0.000
0.000 0.500 0.000
0.000 0.000 0.500
0.500 0.000 0.000
```

Computed properties:
Space group   No. 221



(2)
DFT (GGA-PBE) results for a geometry-optimized ScV3Au structure.

```
ScV3Au
1.0
4.475 0.000 0.000
0.000 4.475 0.000
0.000 0.000 4.475
Sc Au V
1 1 3
Direct
0.000 0.000 0.000
0.500 0.500 0.500
0.000 0.500 0.000
0.000 0.000 0.500
0.500 0.000 0.000
```

Computed properties:
Space group   No. 221



Of them, (1) has the highest stability.



(1)
DFT (GGA-PBE) results for a geometry-optimized Sc2VAu2 structure.

```
Sc2VAu2
1.0
7.565 0.000 0.000
0.000 7.565 0.000
0.000 0.000 3.514
Sc Au V
4 4 2
Direct
0.167 0.667 0.500
0.667 0.833 0.500
0.833 0.333 0.500
0.333 0.167 0.500
0.365 0.865 0.000
0.865 0.635 0.000
0.635 0.135 0.000
0.135 0.365 0.000
0.000 0.000 0.000
0.500 0.500 0.000
```

Computed properties:
Space group   No. 127



(2)
DFT (GGA-PBE) results for a geometry-optimized Sc2VAu2 structure.

```
Sc2VAu2
1.0
-0.508 4.746 2.102
-0.813 -2.158 4.677
3.353 1.394 4.133
Sc Au V
2 2 1
Direct
0.750 0.250 0.500
0.250 0.750 0.500
0.343 0.343 0.314
0.657 0.657 0.686
0.000 0.000 0.000
```

Computed properties:
Space group   No. 139



Of them, (1) has the highest stability.



(1)
DFT (GGA-PBE) results for a geometry-optimized Sc3VAu structure.

```
Sc3VAu
1.0
-3.468 -2.161 2.559
3.055 -3.551 1.141
1.373 2.442 3.924
Sc Au V
3 1 1
Direct
0.000 0.500 0.000
0.000 0.000 0.500
0.500 0.000 0.000
0.500 0.500 0.500
0.000 0.000 0.000
```

Computed properties:
Space group   No. 221



(2)
DFT (GGA-PBE) results for a geometry-optimized Sc3VAu structure.

```
Sc3VAu
1.0
-3.648 -3.561 -0.737
3.460 -3.078 -2.256
1.119 -2.093 4.572
Sc Au V
3 1 1
Direct
0.000 0.500 0.000
0.000 0.000 0.500
0.500 0.000 0.000
0.000 0.000 0.000
0.500 0.500 0.500
```

Computed properties:
Space group   No. 221



Of them, (1) has the highest stability.



(1)
DFT (GGA-PBE) results for a geometry-optimized YScAu structure.

```
YScAu
1.0
-2.825 -2.474 2.867
1.194 -1.747 -4.224
3.046 -1.677 1.555
Au Sc Y
1 1 1
Direct
0.000 0.000 0.094
0.667 0.333 0.211
0.333 0.667 0.695
```

Computed properties:
Space group   No. 156



(2)
DFT (GGA-PBE) results for a geometry-optimized YScAu structure.

```
YScAu
1.0
6.577 0.000 3.001
2.439 7.621 3.363
0.013 0.030 8.680
Y Sc Au
6 6 6
Direct
0.164 0.045 0.545
0.754 0.955 0.455
0.343 0.750 0.250
0.343 0.250 0.750
0.754 0.455 0.955
0.164 0.545 0.045
0.008 0.000 0.000
0.008 0.500 0.500
0.753 0.373 0.372
0.498 0.627 0.628
0.498 0.128 0.127
0.753 0.872 0.873
0.754 0.250 0.750
0.753 0.750 0.250
0.086 0.167 0.167
0.420 0.833 0.833
0.420 0.333 0.333
0.086 0.667 0.667
```

Computed properties:
Space group   No. 38



Of them, (2) has the highest stability.



(1)
DFT (GGA-PBE) results for a geometry-optimized YScAu structure.

```
YScAu
1.0
4.555 0.000 0.000
0.000 4.555 0.000
0.000 0.000 7.139
Y Au Sc
2 2 2
Direct
0.000 0.500 0.866
0.500 0.000 0.134
0.000 0.500 0.268
0.500 0.000 0.732
0.500 0.500 0.500
0.000 0.000 0.500
```

Computed properties:
Space group   No. 129



(2)
DFT (GGA-PBE) results for a geometry-optimized YScAu structure.

```
YScAu
1.0
-0.430 3.365 -3.448
-2.136 -1.099 -4.199
-4.348 1.840 -1.056
Au Sc Y
1 1 1
Direct
0.250 0.250 0.250
0.000 0.000 0.000
0.500 0.500 0.500
```

Computed properties:
Space group   No. 216



(3)
DFT (GGA-PBE) results for a geometry-optimized YScAu structure.

```
YScAu
1.0
-1.205 -2.905 -1.920
3.352 -0.064 1.528
-2.604 -2.624 5.603
Au Sc Y
1 1 1
Direct
0.000 0.000 0.016
0.667 0.333 0.282
0.333 0.667 0.702
```

Computed properties:
Space group   No. 156



(4)
DFT (GGA-PBE) results for a geometry-optimized YScAu structure.

```
YScAu
1.0
-4.021 -2.395 -0.962
-2.460 -2.058 3.542
-4.225 1.793 1.330
Au Sc Y
1 1 1
Direct
0.000 0.000 0.000
0.500 0.500 0.500
0.250 0.250 0.250
```

Computed properties:
Space group   No. 216



Of them, (1) has the highest stability.